Computed, not measured: a relaxed CaCr2W crystal at the GGA-PBE level of DFT.

```
4
Lattice="4.129 0.000 0.000 0.000 2.858 -0.027 0.000 0.927 6.244" Properties=species:S:1:pos:R:3 pbc="T T T"
Ca 2.064 2.839 4.663
Cr 0.000 2.044 2.509
Cr 0.000 2.706 0.573
W 2.064 0.946 1.554
```

- ΔH_f (0 K) (meV/atom) = 614



Computed, not measured: a relaxed Y2Tm4H crystal at the GGA-PBE level of DFT.

```
7
Lattice="-0.259 4.766 0.340 -0.219 -0.352 4.768 8.211 2.637 2.975" Properties=species:S:1:pos:R:3 pbc="T T T"
Tm -0.110 -0.176 2.384
Tm -0.130 2.383 0.170
Tm 5.749 2.512 2.852
Tm 1.983 4.539 5.230
H 0.000 0.000 0.000
Y 2.306 2.337 2.681
Y 5.427 4.715 5.402
```

- E (eV/atom) = -4.8141



Computed, not measured: a relaxed Ca2NiSn4Rh3 crystal at the GGA-PBE level of DFT.

```
10
Lattice="-2.462 -3.467 -1.566 1.648 -2.653 3.283 -8.021 2.839 6.323" Properties=species:S:1:pos:R:3 pbc="T T T"
Rh -0.241 -0.950 2.481
Rh -4.010 1.420 3.161
Rh -8.187 0.729 4.700
Ca -5.101 0.771 6.311
Ca -3.327 -0.991 0.869
Sn 0.000 0.000 0.000
Sn -6.215 0.031 3.145
Sn -2.213 -0.252 4.036
Sn -0.407 -3.060 0.858
Ni -4.417 -1.640 4.020
```

- ΔH_f (0 K) (meV/atom) = -540



Computed, not measured: a relaxed TaOs4W crystal at the GGA-PBE level of DFT.

```
6
Lattice="0.000 3.622 3.622 3.622 0.000 3.622 3.622 3.622 0.000" Properties=species:S:1:pos:R:3 pbc="T T T"
Os 2.715 4.530 4.530
Os 4.530 2.715 4.530
Os 4.530 4.530 2.715
Os 2.715 2.715 2.715
Ta 5.434 5.434 5.434
W 0.000 0.000 0.000
```

- ΔH_f (0 K) (meV/atom) = 222



Computed, not measured: a relaxed LaIBrN2 crystal at the GGA-PBE level of DFT.

```
5
Lattice="4.523 0.000 0.000 0.000 4.523 0.000 0.000 0.000 5.146" Properties=species:S:1:pos:R:3 pbc="T T T"
Br 0.000 0.000 0.000
N 0.000 2.261 0.000
N 2.261 0.000 0.000
I 0.000 0.000 2.573
La 2.261 2.261 2.573
```

- E (eV/atom) = -3.6730



Computed, not measured: a relaxed Ba4La3PrTe8 crystal at the GGA-PBE level of DFT.

```
16
Lattice="9.438 0.000 0.000 0.000 9.621 0.122 -4.719 -4.714 6.677" Properties=species:S:1:pos:R:3 pbc="T T T"
La -2.359 2.453 3.400
La 2.359 2.453 3.400
La 4.719 4.810 0.061
Te 7.087 2.552 0.129
Te 2.351 2.552 0.129
Te 2.368 2.354 6.671
Te 0.000 0.188 3.468
Te -2.368 2.354 6.671
Te 4.719 4.718 3.331
Te 4.719 0.187 3.479
Te 0.000 4.719 3.320
Ba 4.719 0.000 0.000
Ba 2.359 -2.357 3.339
Ba 0.000 0.000 0.000
Ba -2.359 -2.357 3.339
Pr 0.000 4.810 0.061
```

- E (eV/atom) = -4.9181



In the order shown, the computed D(E_F) values come out to 0.89 0.93 0.64 0.98 0.32 0.47 states/eV per atom.